# Ho2MgAl4Au3

A relaxed Ho2MgAl4Au3 crystal (PBE, the Alexandria database).

a = 4.190 Å, b = 4.190 Å, c = 11.396 Å
α = 90.00°, β = 90.00°, γ = 90.00°
Space group P-4m2 (No. 115)
One atom of each set of equivalent atoms:
1 Ho 0.000 0.500 0.242 (multiplicity 2)
2 Mg 0.000 0.000 0.500 (multiplicity 1)
3 Al 0.000 0.000 0.000 (multiplicity 1)
4 Al 0.000 0.500 0.649 (multiplicity 2)
5 Al 0.500 0.500 0.000 (multiplicity 1)
6 Au 0.000 0.500 0.866 (multiplicity 2)
7 Au 0.500 0.500 0.500 (multiplicity 1)

* ρ: 8.74 Mg/m³
* magnetic moment: 0.000 μB/atom
* Fermi-level density of states: 5.8 states/eV/cell

# HoMgAl2Au4

A relaxed HoMgAl2Au4 crystal (PBE, the Alexandria database).

a = 4.5084 Å, b = 4.5084 Å, c = 25.5684 Å
α = 90.00°, β = 90.00°, γ = 120.00°
Space group R-3m (No. 166, hexagonal axes)
One atom of each set of equivalent atoms:
1 Ho 0.0000 0.0000 0.0000 (multiplicity 3)
2 Mg 0.0000 0.0000 0.5000 (multiplicity 3)
3 Al 0.0000 0.0000 0.2440 (multiplicity 6)
4 Au 0.0000 0.0000 0.1285 (multiplicity 6)
5 Au 0.0000 0.0000 0.3919 (multiplicity 6)

* ρ: 11.41 Mg/m³
* magnetic moment: 0.000 μB/atom
* Fermi-level density of states: 12.6 states/eV/cell

# HoMg2AlAu4

A relaxed HoMg2AlAu4 crystal (PBE, the Alexandria database).

a = 4.6178 Å, b = 4.6178 Å, c = 24.8497 Å
α = 90.00°, β = 90.00°, γ = 120.00°
Space group R-3m (No. 166, hexagonal axes)
One atom of each set of equivalent atoms:
1 Ho 0.0000 0.0000 0.0000 (multiplicity 3)
2 Mg 0.0000 0.0000 0.2450 (multiplicity 6)
3 Al 0.0000 0.0000 0.5000 (multiplicity 3)
4 Au 0.0000 0.0000 0.1287 (multiplicity 6)
5 Au 0.0000 0.0000 0.3906 (multiplicity 6)

* ρ: 11.16 Mg/m³
* magnetic moment: 0.000 μB/atom
* Fermi-level density of states: 10.8 states/eV/cell

# Nd2HoAl4Au3

A relaxed Nd2HoAl4Au3 crystal (PBE, the Alexandria database).

a = 4.347 Å, b = 4.347 Å, c = 11.749 Å
α = 90.00°, β = 90.00°, γ = 90.00°
Space group P-4m2 (No. 115)
One atom of each set of equivalent atoms:
1 Nd 0.000 0.500 0.232 (multiplicity 2)
2 Ho 0.000 0.000 0.500 (multiplicity 1)
3 Al 0.000 0.000 0.000 (multiplicity 1)
4 Al 0.000 0.500 0.667 (multiplicity 2)
5 Al 0.500 0.500 0.000 (multiplicity 1)
6 Au 0.000 0.500 0.879 (multiplicity 2)
7 Au 0.500 0.500 0.500 (multiplicity 1)

* ρ: 8.62 Mg/m³
* magnetic moment: 0.000 μB/atom
* Fermi-level density of states: 6.2 states/eV/cell

# NdHoAlAu

A relaxed NdHoAlAu crystal (PBE, the Alexandria database).

a = 7.370 Å, b = 7.370 Å, c = 7.370 Å
α = 90.00°, β = 90.00°, γ = 90.00°
Space group F-43m (No. 216)
One atom of each set of equivalent atoms:
1 Nd 0.000 0.000 0.000 (multiplicity 4)
2 Ho 0.000 0.000 0.500 (multiplicity 4)
3 Al 0.250 0.250 0.250 (multiplicity 4)
4 Au 0.250 0.250 0.750 (multiplicity 4)

* ρ: 8.84 Mg/m³
* magnetic moment: 0.000 μB/atom
* Fermi-level density of states: 16.5 states/eV/cell

# HoAlNiAu

A relaxed HoAlNiAu crystal (PBE, the Alexandria database).

a = 6.583 Å, b = 6.583 Å, c = 6.583 Å
α = 90.00°, β = 90.00°, γ = 90.00°
Space group F-43m (No. 216)
One atom of each set of equivalent atoms:
1 Ho 0.000 0.000 0.000 (multiplicity 4)
2 Al 0.000 0.000 0.500 (multiplicity 4)
3 Ni 0.250 0.250 0.250 (multiplicity 4)
4 Au 0.250 0.250 0.750 (multiplicity 4)

* ρ: 10.42 Mg/m³
* magnetic moment: 0.000 μB/atom
* Fermi-level density of states: 11.4 states/eV/cell

# Ho2Al4NiAu3

A relaxed Ho2Al4NiAu3 crystal (PBE, the Alexandria database).

a = 4.234 Å, b = 4.234 Å, c = 10.593 Å
α = 90.00°, β = 90.00°, γ = 90.00°
Space group P-4m2 (No. 115)
One atom of each set of equivalent atoms:
1 Ho 0.000 0.500 0.241 (multiplicity 2)
2 Al 0.000 0.000 0.500 (multiplicity 1)
3 Al 0.000 0.500 0.877 (multiplicity 2)
4 Al 0.500 0.500 0.500 (multiplicity 1)
5 Ni 0.500 0.500 0.000 (multiplicity 1)
6 Au 0.000 0.000 0.000 (multiplicity 1)
7 Au 0.000 0.500 0.642 (multiplicity 2)

* ρ: 9.51 Mg/m³
* magnetic moment: 0.000 μB/atom
* Fermi-level density of states: 5.6 states/eV/cell

# HoPaAlAu

A relaxed HoPaAlAu crystal (PBE, the Alexandria database).

a = 7.230 Å, b = 7.230 Å, c = 7.230 Å
α = 90.00°, β = 90.00°, γ = 90.00°
Space group F-43m (No. 216)
One atom of each set of equivalent atoms:
1 Ho 0.000 0.000 0.000 (multiplicity 4)
2 Pa 0.000 0.000 0.500 (multiplicity 4)
3 Al 0.250 0.250 0.750 (multiplicity 4)
4 Au 0.250 0.250 0.250 (multiplicity 4)

* ρ: 10.89 Mg/m³
* magnetic moment: 0.355 μB/atom
* Fermi-level density of states: 30.4 states/eV/cell

# HoAl4Pd2Au

A relaxed HoAl4Pd2Au crystal (PBE, the Alexandria database).

a = 4.3024 Å, b = 4.3024 Å, c = 26.5796 Å
α = 90.00°, β = 90.00°, γ = 120.00°
Space group R-3m (No. 166, hexagonal axes)
One atom of each set of equivalent atoms:
1 Ho 0.0000 0.0000 0.0000 (multiplicity 3)
2 Al 0.0000 0.0000 0.1255 (multiplicity 6)
3 Al 0.0000 0.0000 0.3997 (multiplicity 6)
4 Pd 0.0000 0.0000 0.2475 (multiplicity 6)
5 Au 0.0000 0.0000 0.5000 (multiplicity 3)

* ρ: 7.98 Mg/m³
* magnetic moment: 0.000 μB/atom
* Fermi-level density of states: 7.8 states/eV/cell

# HoAl2Pd2Au

A relaxed HoAl2Pd2Au crystal (PBE, the Alexandria database).

a = 4.710 Å, b = 4.710 Å, c = 5.614 Å
α = 90.00°, β = 90.00°, γ = 90.00°
Space group P4/mmm (No. 123)
One atom of each set of equivalent atoms:
1 Ho 0.000 0.000 0.000 (multiplicity 1)
2 Al 0.000 0.500 0.500 (multiplicity 2)
3 Pd 0.500 0.500 0.245 (multiplicity 2)
4 Au 0.000 0.000 0.500 (multiplicity 1)

* ρ: 8.38 Mg/m³
* magnetic moment: 0.000 μB/atom
* Fermi-level density of states: 3.6 states/eV/cell

# HoAl3PdAu

A relaxed HoAl3PdAu crystal (PBE, the Alexandria database).

a = 6.048 Å, b = 12.814 Å, c = 5.842 Å
α = 90.00°, β = 90.00°, γ = 90.00°
Space group Cmcm (No. 63)
One atom of each set of equivalent atoms:
1 Ho 0.000 0.204 0.250 (multiplicity 4)
2 Al 0.000 0.366 0.750 (multiplicity 4)
3 Al 0.214 0.000 0.000 (multiplicity 8)
4 Pd 0.000 0.413 0.250 (multiplicity 4)
5 Au 0.000 0.160 0.750 (multiplicity 4)

* ρ: 8.06 Mg/m³
* magnetic moment: 0.000 μB/atom
* Fermi-level density of states: 8.1 states/eV/cell

# Pr2HoAl4Au3

A relaxed Pr2HoAl4Au3 crystal (PBE, the Alexandria database).

a = 4.369 Å, b = 4.369 Å, c = 11.728 Å
α = 90.00°, β = 90.00°, γ = 90.00°
Space group P-4m2 (No. 115)
One atom of each set of equivalent atoms:
1 Pr 0.000 0.500 0.233 (multiplicity 2)
2 Ho 0.000 0.000 0.500 (multiplicity 1)
3 Al 0.000 0.000 0.000 (multiplicity 1)
4 Al 0.000 0.500 0.666 (multiplicity 2)
5 Al 0.500 0.500 0.000 (multiplicity 1)
6 Au 0.000 0.500 0.880 (multiplicity 2)
7 Au 0.500 0.500 0.500 (multiplicity 1)

* ρ: 8.50 Mg/m³
* magnetic moment: 0.000 μB/atom
* Fermi-level density of states: 6.3 states/eV/cell

# PrHoAlAu

A relaxed PrHoAlAu crystal (PBE, the Alexandria database).

a = 7.399 Å, b = 7.399 Å, c = 7.399 Å
α = 90.00°, β = 90.00°, γ = 90.00°
Space group F-43m (No. 216)
One atom of each set of equivalent atoms:
1 Pr 0.000 0.000 0.000 (multiplicity 4)
2 Ho 0.000 0.000 0.500 (multiplicity 4)
3 Al 0.250 0.250 0.750 (multiplicity 4)
4 Au 0.250 0.250 0.250 (multiplicity 4)

* ρ: 8.69 Mg/m³
* magnetic moment: 0.001 μB/atom
* Fermi-level density of states: 16.9 states/eV/cell

# Ho2Al4Pt3Au

A relaxed Ho2Al4Pt3Au crystal (PBE, the Alexandria database).

a = 4.183 Å, b = 4.183 Å, c = 10.725 Å
α = 90.00°, β = 90.00°, γ = 90.00°
Space group P-4m2 (No. 115)
One atom of each set of equivalent atoms:
1 Ho 0.000 0.500 0.242 (multiplicity 2)
2 Al 0.000 0.000 0.000 (multiplicity 1)
3 Al 0.000 0.500 0.635 (multiplicity 2)
4 Al 0.500 0.500 0.000 (multiplicity 1)
5 Pt 0.000 0.500 0.864 (multiplicity 2)
6 Pt 0.500 0.500 0.500 (multiplicity 1)
7 Au 0.000 0.000 0.500 (multiplicity 1)

* ρ: 10.79 Mg/m³
* magnetic moment: 0.000 μB/atom
* Fermi-level density of states: 4.2 states/eV/cell

# Ho2Al3Pt4Au

A relaxed Ho2Al3Pt4Au crystal (PBE, the Alexandria database).

a = 4.004 Å, b = 4.004 Å, c = 11.722 Å
α = 90.00°, β = 90.00°, γ = 90.00°
Space group P-4m2 (No. 115)
One atom of each set of equivalent atoms:
1 Ho 0.000 0.500 0.241 (multiplicity 2)
2 Al 0.000 0.000 0.000 (multiplicity 1)
3 Al 0.000 0.500 0.626 (multiplicity 2)
4 Pt 0.000 0.000 0.500 (multiplicity 1)
5 Pt 0.000 0.500 0.833 (multiplicity 2)
6 Pt 0.500 0.500 0.500 (multiplicity 1)
7 Au 0.500 0.500 0.000 (multiplicity 1)

* ρ: 12.27 Mg/m³
* magnetic moment: 0.000 μB/atom
* Fermi-level density of states: 4.2 states/eV/cell

# Ho2Al4PtAu3

A relaxed Ho2Al4PtAu3 crystal (PBE, the Alexandria database).

a = 4.288 Å, b = 4.288 Å, c = 10.554 Å
α = 90.00°, β = 90.00°, γ = 90.00°
Space group P-4m2 (No. 115)
One atom of each set of equivalent atoms:
1 Ho 0.000 0.500 0.246 (multiplicity 2)
2 Al 0.000 0.000 0.500 (multiplicity 1)
3 Al 0.000 0.500 0.872 (multiplicity 2)
4 Al 0.500 0.500 0.500 (multiplicity 1)
5 Pt 0.500 0.500 0.000 (multiplicity 1)
6 Au 0.000 0.000 0.000 (multiplicity 1)
7 Au 0.000 0.500 0.638 (multiplicity 2)

* ρ: 10.47 Mg/m³
* magnetic moment: 0.000 μB/atom
* Fermi-level density of states: 5.4 states/eV/cell

# HoAl3PtAu

A relaxed HoAl3PtAu crystal (PBE, the Alexandria database).

a = 6.565 Å, b = 12.385 Å, c = 5.752 Å
α = 90.00°, β = 90.00°, γ = 90.00°
Space group Cmcm (No. 63)
One atom of each set of equivalent atoms:
1 Ho 0.000 0.203 0.250 (multiplicity 4)
2 Al 0.000 0.348 0.750 (multiplicity 4)
3 Al 0.203 0.000 0.000 (multiplicity 8)
4 Pt 0.000 0.140 0.750 (multiplicity 4)
5 Au 0.000 0.425 0.250 (multiplicity 4)

* ρ: 9.06 Mg/m³
* magnetic moment: 0.000 μB/atom
* Fermi-level density of states: 8.5 states/eV/cell

# HoAlRhAu

A relaxed HoAlRhAu crystal (PBE, the Alexandria database).

a = 6.637 Å, b = 6.637 Å, c = 6.637 Å
α = 90.00°, β = 90.00°, γ = 90.00°
Space group F-43m (No. 216)
One atom of each set of equivalent atoms:
1 Ho 0.000 0.000 0.000 (multiplicity 4)
2 Al 0.000 0.000 0.500 (multiplicity 4)
3 Rh 0.250 0.250 0.250 (multiplicity 4)
4 Au 0.250 0.250 0.750 (multiplicity 4)

* ρ: 11.17 Mg/m³
* magnetic moment: 0.000 μB/atom
* Fermi-level density of states: 12.7 states/eV/cell

# Ho2Al4RhAu3

A relaxed Ho2Al4RhAu3 crystal (PBE, the Alexandria database).

a = 4.166 Å, b = 4.166 Å, c = 11.002 Å
α = 90.00°, β = 90.00°, γ = 90.00°
Space group P-4m2 (No. 115)
One atom of each set of equivalent atoms:
1 Ho 0.000 0.500 0.245 (multiplicity 2)
2 Al 0.000 0.000 0.500 (multiplicity 1)
3 Al 0.000 0.500 0.871 (multiplicity 2)
4 Al 0.500 0.500 0.500 (multiplicity 1)
5 Rh 0.500 0.500 0.000 (multiplicity 1)
6 Au 0.000 0.000 0.000 (multiplicity 1)
7 Au 0.000 0.500 0.643 (multiplicity 2)

* ρ: 9.84 Mg/m³
* magnetic moment: 0.000 μB/atom
* Fermi-level density of states: 5.3 states/eV/cell

# HoScAlAu

A relaxed HoScAlAu crystal (PBE, the Alexandria database).

a = 7.032 Å, b = 7.032 Å, c = 7.032 Å
α = 90.00°, β = 90.00°, γ = 90.00°
Space group F-43m (No. 216)
One atom of each set of equivalent atoms:
1 Ho 0.000 0.000 0.000 (multiplicity 4)
2 Sc 0.000 0.000 0.500 (multiplicity 4)
3 Al 0.250 0.250 0.250 (multiplicity 4)
4 Au 0.250 0.250 0.750 (multiplicity 4)

* ρ: 8.29 Mg/m³
* magnetic moment: 0.000 μB/atom
* Fermi-level density of states: 10.3 states/eV/cell

# SmHoAlAu

A relaxed SmHoAlAu crystal (PBE, the Alexandria database).

a = 7.323 Å, b = 7.323 Å, c = 7.323 Å
α = 90.00°, β = 90.00°, γ = 90.00°
Space group F-43m (No. 216)
One atom of each set of equivalent atoms:
1 Sm 0.000 0.000 0.000 (multiplicity 4)
2 Ho 0.000 0.000 0.500 (multiplicity 4)
3 Al 0.250 0.250 0.250 (multiplicity 4)
4 Au 0.250 0.250 0.750 (multiplicity 4)

* ρ: 9.12 Mg/m³
* magnetic moment: 0.000 μB/atom
* Fermi-level density of states: 14.9 states/eV/cell

# Sr2HoAl3Au12

A relaxed Sr2HoAl3Au12 crystal (PBE, the Alexandria database).

a = 9.1373 Å, b = 9.1373 Å, c = 18.2927 Å
α = 90.00°, β = 90.00°, γ = 120.00°
Space group R-3m (No. 166, hexagonal axes)
One atom of each set of equivalent atoms:
1 Sr 0.0000 0.0000 0.1005 (multiplicity 6)
2 Ho 0.0000 0.0000 0.5000 (multiplicity 3)
3 Al 0.0000 0.5000 0.0000 (multiplicity 9)
4 Au 0.0184 0.5092 0.8633 (multiplicity 18)
5 Au 0.0270 0.5135 0.3101 (multiplicity 18)

* ρ: 10.49 Mg/m³
* magnetic moment: 0.000 μB/atom
* Fermi-level density of states: 21.1 states/eV/cell

# TbHoAlAu

A relaxed TbHoAlAu crystal (PBE, the Alexandria database).

a = 7.258 Å, b = 7.258 Å, c = 7.258 Å
α = 90.00°, β = 90.00°, γ = 90.00°
Space group F-43m (No. 216)
One atom of each set of equivalent atoms:
1 Tb 0.000 0.000 0.000 (multiplicity 4)
2 Ho 0.000 0.000 0.500 (multiplicity 4)
3 Al 0.250 0.250 0.750 (multiplicity 4)
4 Au 0.250 0.250 0.250 (multiplicity 4)

* ρ: 9.52 Mg/m³
* magnetic moment: 0.000 μB/atom
* energy relative to the lowest polymorph listed for this composition: 0.21 eV/f.u.
* Fermi-level density of states: 11.8 states/eV/cell

# TbHoAlAu

A relaxed TbHoAlAu crystal (PBE, the Alexandria database).

a = 3.556 Å, b = 3.556 Å, c = 7.456 Å
α = 90.00°, β = 90.00°, γ = 90.00°
Space group P4mm (No. 99)
One atom of each set of equivalent atoms:
1 Tb 0.000 0.000 0.000 (multiplicity 1)
2 Ho 0.000 0.000 0.487 (multiplicity 1)
3 Al 0.500 0.500 0.741 (multiplicity 1)
4 Au 0.500 0.500 0.253 (multiplicity 1)

* ρ: 9.65 Mg/m³
* magnetic moment: 0.000 μB/atom
* energy relative to the lowest polymorph listed for this composition: 0.00 eV/f.u.
* Fermi-level density of states: 1.9 states/eV/cell

# HoThAlAu

A relaxed HoThAlAu crystal (PBE, the Alexandria database).

a = 7.372 Å, b = 7.372 Å, c = 7.372 Å
α = 90.00°, β = 90.00°, γ = 90.00°
Space group F-43m (No. 216)
One atom of each set of equivalent atoms:
1 Ho 0.000 0.000 0.000 (multiplicity 4)
2 Th 0.000 0.000 0.500 (multiplicity 4)
3 Al 0.250 0.250 0.750 (multiplicity 4)
4 Au 0.250 0.250 0.250 (multiplicity 4)

* ρ: 10.30 Mg/m³
* magnetic moment: 0.212 μB/atom
* Fermi-level density of states: 19.4 states/eV/cell

Computed calculated total energy (eV/atom) in order:
-4.162 -3.947 -3.696 -4.515 -4.608 -4.879 -4.636 -5.483 -4.781 -4.639 -4.585 -4.520 -4.598 -5.565 -5.799 -4.783 -4.743 -5.439 -4.874 -5.049 -4.616 -3.520 -4.622 -4.675 -5.174